# 1
## ReHg2Rh (PBE-GGA)

Data for crystalline ReHg2Rh at its relaxed geometry.

Summary:
E_tot	-4.41	eV per atom
energy above the most stable polymorph in this dataset	0.423	eV/atom
ΔE_f	695	meV per atom
crystal system	orthorhombic
calculated volume	71	Å³/cell

abc: 5.6824 5.6824 5.6824
angles: 150.60 127.26 61.53
Site moments in Bohr magnetons follow the coordinates.
Atoms (fractional coordinates):
Hg (0.7453, 0.7453, 0.0000)  -0.01
Re (0.0000, 0.5000, 0.5000)  0.70
Rh (0.5000, 0.0000, 0.5000)  0.15
Hg (0.2547, 0.2547, 0.0000)  -0.01

# 2
## GaCuO3 (PBE-GGA)

Data for crystalline GaCuO3 at its relaxed geometry.

Summary:
E_tot	-4.60	eV per atom
formation energy from raw total energies	-0.201	eV/atom
crystal system	cubic
calculated volume	52	Å³/cell

abc: 3.7397 3.7397 3.7397
angles: 90.00 90.00 90.00
Atoms (fractional coordinates):
O (0.5000, 0.0000, 0.0000)
Cu (0.0000, 0.0000, 0.0000)
O (0.0000, 0.5000, 0.0000)
Ga (0.5000, 0.5000, 0.5000)
O (0.0000, 0.0000, 0.5000)

# 3
## HRhS2 (PBE-GGA)

Data for crystalline HRhS2 at its relaxed geometry.

Summary:
E_tot	-5.08	eV per atom
energy above the most stable polymorph in this dataset	0.000	eV/atom
crystal system	orthorhombic
calculated volume	139	Å³/cell

abc: 8.2761 4.6647 3.5903
angles: 90.00 90.00 89.99
Atoms (fractional coordinates):
H (0.8280, 0.8988, 0.7779)
S (0.2652, 0.6273, 0.7779)
S (0.1430, 0.1273, 0.2779)
S (0.8825, 0.6245, 0.7779)
S (0.5258, 0.1245, 0.2779)
H (0.5801, 0.3989, 0.2779)
Rh (0.3325, 0.1317, 0.7779)
Rh (0.0757, 0.6318, 0.2779)

# 4
## K2PmBiO6 (PBE-GGA)

Data for crystalline K2PmBiO6 at its relaxed geometry.

Summary:
E_tot	-5.58	eV per atom
formation energy from raw total energies	-1.518	eV/atom
crystal system	monoclinic
calculated volume	350	Å³/cell

abc: 6.2781 6.2763 8.8790
angles: 90.00 90.01 90.00
Site moments in Bohr magnetons follow the coordinates.
Atoms (fractional coordinates):
K (0.4998, 0.5003, 0.2499)  0.00
O (0.0051, 0.5001, 0.7611)  0.29
O (0.4949, 0.0001, 0.7389)  0.29
O (0.7591, 0.2629, 0.9972)  0.29
O (0.5051, 0.9999, 0.2611)  0.29
K (0.9998, 0.9997, 0.7499)  0.00
Bi (0.0000, 0.5000, 0.0000)  -0.05
O (0.2409, 0.7371, 0.0028)  0.29
O (0.2630, 0.7590, 0.4974)  0.29
O (0.7409, 0.7629, 0.5028)  0.29
Pm (0.5000, 0.0000, 0.0000)  -0.04
Pm (0.0000, 0.5000, 0.5000)  -0.04
Bi (0.5000, 0.0000, 0.5000)  -0.05
O (0.2591, 0.2371, 0.4972)  0.29
O (0.2370, 0.2590, 0.0026)  0.29
K (0.5002, 0.4997, 0.7501)  0.00
O (0.9949, 0.4999, 0.2389)  0.29
O (0.7370, 0.2410, 0.5026)  0.29
K (0.0002, 0.0003, 0.2501)  0.00
O (0.7630, 0.7410, 0.9974)  0.29

# 5
## LaYHo2 (PBE-GGA)

Data for crystalline LaYHo2 at its relaxed geometry.

Summary:
E_tot	-5.10	eV per atom
energy above the most stable polymorph in this dataset	0.027	eV/atom
ΔE_f	35	meV per atom
crystal system	tetragonal
calculated volume	132	Å³/cell

abc: 5.0777 5.0908 5.0908
angles: 90.00 90.00 90.00
Atoms (fractional coordinates):
Ho (0.0000, 0.0000, 0.5000)
La (0.5000, 0.5000, 0.5000)
Y (0.5000, 0.0000, 0.0000)
Ho (0.0000, 0.5000, 0.0000)

# 6
## TmLuPuCd (PBE-GGA)

Data for crystalline TmLuPuCd at its relaxed geometry.

Summary:
E_tot	-5.98	eV per atom
ΔE_f	78	meV per atom
crystal system	cubic
calculated volume	107	Å³/cell

abc: 5.3310 5.3310 5.3310
angles: 60.00 60.00 60.00
Site moments in Bohr magnetons follow the coordinates.
Atoms (fractional coordinates):
Pu (0.0000, 0.0000, 0.0000)  5.66
Lu (0.7500, 0.7500, 0.7500)  0.29
Cd (0.5000, 0.5000, 0.5000)  -0.02
Tm (0.2500, 0.2500, 0.2500)  0.35

# 7
## TlMoSe2 (PBE-GGA)

Data for crystalline TlMoSe2 at its relaxed geometry.

Summary:
E_tot	-4.99	eV per atom
formation energy from raw total energies	0.056	eV/atom
crystal system	orthorhombic
calculated volume	102	Å³/cell

abc: 6.3171 6.3171 6.3171
angles: 150.38 124.08 64.55
Site moments in Bohr magnetons follow the coordinates.
Atoms (fractional coordinates):
Se (0.0709, 0.0709, 0.0000)  0.01
Se (0.4291, 0.4291, 0.0000)  0.01
Tl (0.7500, 0.2500, 0.5000)  0.01
Mo (0.2500, 0.7500, 0.5000)  1.07

# 8
## RbFeB2C (PBE-GGA)

Data for crystalline RbFeB2C at its relaxed geometry.

Summary:
E_tot	-2.12	eV per atom
ΔE_f	4281	meV per atom
crystal system	tetragonal
calculated volume	90	Å³/cell

abc: 4.6125 4.6125 4.2527
angles: 90.00 90.00 90.00
Site moments in Bohr magnetons follow the coordinates.
Atoms (fractional coordinates):
B (0.5000, 0.0000, 0.0000)  0.08
C (0.0000, 0.0000, 0.5000)  0.10
Fe (0.5000, 0.5000, 0.5000)  -0.27
B (0.0000, 0.5000, 0.0000)  0.08
Rb (0.0000, 0.0000, 0.0000)  0.07

# 9
## InNiSe3 (PBE-GGA)

Data for crystalline InNiSe3 at its relaxed geometry.

Summary:
E_tot	-2.89	eV per atom
formation energy from raw total energies	0.906	eV/atom
energy above the most stable polymorph in this dataset	0.780	eV/atom
crystal system	cubic
calculated volume	145	Å³/cell

abc: 5.2556 5.2556 5.2556
angles: 90.00 90.00 90.00
Site moments in Bohr magnetons follow the coordinates.
Atoms (fractional coordinates):
Se (0.5000, 0.0000, 0.0000)  0.22
Se (0.0000, 0.0000, 0.5000)  0.23
In (0.0000, 0.0000, 0.0000)  -0.01
Ni (0.5000, 0.5000, 0.5000)  1.06
Se (0.0000, 0.5000, 0.0000)  0.30

# 10
## TbHo3Tm (PBE-GGA)

Data for crystalline TbHo3Tm at its relaxed geometry.

Summary:
E_tot	-4.56	eV per atom
energy above the most stable polymorph in this dataset	0.000	eV/atom
ΔE_f	4	meV per atom
crystal system	triclinic
calculated volume	312	Å³/cell

abc: 9.5088 6.6426 6.2188
angles: 117.87 109.13 95.87
Atoms (fractional coordinates):
Tb (0.8492, 0.9484, 0.8816)
Ho (0.5487, 0.4479, 0.3156)
Tm (0.6491, 0.9483, 0.2826)
Ho (0.2501, 0.9489, 0.0832)
Ho (0.7498, 0.4511, 0.9168)
Tm (0.3508, 0.4517, 0.7174)
Tb (0.1508, 0.4517, 0.1184)
Ho (0.9487, 0.4479, 0.5139)
Ho (0.0514, 0.9521, 0.4862)
Ho (0.4513, 0.9520, 0.6843)

# 11
## Ti2GeS (PBE-GGA)

Data for crystalline Ti2GeS at its relaxed geometry.

Summary:
E_tot	-6.98	eV per atom
formation energy from raw total energies	-0.845	eV/atom
energy above the most stable polymorph in this dataset	0.031	eV/atom
crystal system	trigonal
calculated volume	66	Å³/cell

abc: 3.4875 3.4875 6.5794
angles: 74.63 74.63 60.00
Atoms (fractional coordinates):
S (0.4994, 0.4994, 0.5018)
Ti (0.2507, 0.2507, 0.2480)
Ti (0.0822, 0.0822, 0.7534)
Ge (0.6677, 0.6677, 0.9968)

# 12
## HIrS2 (PBE-GGA)

Data for crystalline HIrS2 at its relaxed geometry.

Summary:
E_tot	-5.39	eV per atom
energy above the most stable polymorph in this dataset	0.016	eV/atom
crystal system	trigonal
calculated volume	65	Å³/cell

abc: 3.6515 3.6515 5.6624
angles: 90.00 90.00 120.00
Atoms (fractional coordinates):
S (0.6667, 0.3333, 0.1746)
H (0.3333, 0.6667, 0.5385)
Ir (0.0000, 0.0000, 0.9612)
S (0.3333, 0.6667, 0.7807)